Record 1
The following is a PBE calculation of a relaxed Ca2LaTiAl crystal, from the Alexandria database.

Summary:
The calculation puts the total energy at -18.05 eV/cell.

```
data_Ca2LaTiAl
_chemical_formula_sum 'Ca2 La1 Ti1 Al1'
_symmetry_space_group_name_H-M 'P 4/m m m'
_symmetry_Int_Tables_number 123
_symmetry_space_group_name_Hall '-P 4 2'
_cell_length_a 5.403
_cell_length_b 5.403
_cell_length_c 5.266
_cell_angle_alpha 90.00
_cell_angle_beta 90.00
_cell_angle_gamma 90.00
loop_
_atom_site_label
_atom_site_fract_x
_atom_site_fract_y
_atom_site_fract_z
Ca1 0.000 0.500 0.000
La1 0.000 0.000 0.500
Ti1 0.500 0.500 0.000
Al1 0.500 0.500 0.500
```

=====

Record 2
The following is a PBE calculation of a relaxed CaLaAlTl crystal, from the Alexandria database.

Summary:
The calculation puts the total energy at -57.59 eV/cell.

```
data_CaLaAlTl
_chemical_formula_sum 'Ca4 La4 Al4 Tl4'
_symmetry_space_group_name_H-M 'F -4 3 m'
_symmetry_Int_Tables_number 216
_symmetry_space_group_name_Hall 'F -4 2 3'
_cell_length_a 7.721
_cell_length_b 7.721
_cell_length_c 7.721
_cell_angle_alpha 90.00
_cell_angle_beta 90.00
_cell_angle_gamma 90.00
loop_
_atom_site_label
_atom_site_fract_x
_atom_site_fract_y
_atom_site_fract_z
Ca1 0.000 0.000 0.000
La1 0.000 0.000 0.500
Al1 0.250 0.250 0.250
Tl1 0.250 0.250 0.750
```

=====

Record 3
The following is a PBE calculation of a relaxed CaLa2AlTl crystal, from the Alexandria database.

Summary:
The calculation puts the total energy at -17.21 eV/cell.

```
data_CaLa2AlTl
_chemical_formula_sum 'Ca1 La2 Al1 Tl1'
_symmetry_space_group_name_H-M 'P 4/m m m'
_symmetry_Int_Tables_number 123
_symmetry_space_group_name_Hall '-P 4 2'
_cell_length_a 5.873
_cell_length_b 5.873
_cell_length_c 5.292
_cell_angle_alpha 90.00
_cell_angle_beta 90.00
_cell_angle_gamma 90.00
loop_
_atom_site_label
_atom_site_fract_x
_atom_site_fract_y
_atom_site_fract_z
Ca1 0.000 0.000 0.000
La1 0.000 0.500 0.500
Al1 0.500 0.500 0.500
Tl1 0.500 0.500 0.000
```

=====

Record 4
The following is a PBE calculation of a relaxed CaLaAlZn crystal, from the Alexandria database.

Summary:
The calculation puts the total energy at -52.68 eV/cell.

```
data_CaLaAlZn
_chemical_formula_sum 'Ca4 La4 Al4 Zn4'
_symmetry_space_group_name_H-M 'F -4 3 m'
_symmetry_Int_Tables_number 216
_symmetry_space_group_name_Hall 'F -4 2 3'
_cell_length_a 7.516
_cell_length_b 7.516
_cell_length_c 7.516
_cell_angle_alpha 90.00
_cell_angle_beta 90.00
_cell_angle_gamma 90.00
loop_
_atom_site_label
_atom_site_fract_x
_atom_site_fract_y
_atom_site_fract_z
Ca1 0.000 0.000 0.000
La1 0.000 0.000 0.500
Al1 0.250 0.250 0.750
Zn1 0.250 0.250 0.250
```

=====

Record 5
The following is a PBE calculation of a relaxed CaLaZrAl2 crystal, from the Alexandria database.

Summary:
The calculation puts the total energy at -16.45 eV/cell.

```
data_CaLaZrAl2
_chemical_formula_sum 'Ca1 La1 Zr1 Al2'
_symmetry_space_group_name_H-M 'P 4/m m m'
_symmetry_Int_Tables_number 123
_symmetry_space_group_name_Hall '-P 4 2'
_cell_length_a 5.405
_cell_length_b 5.405
_cell_length_c 5.363
_cell_angle_alpha 90.00
_cell_angle_beta 90.00
_cell_angle_gamma 90.00
loop_
_atom_site_label
_atom_site_fract_x
_atom_site_fract_y
_atom_site_fract_z
Ca1 0.000 0.000 0.000
La1 0.000 0.000 0.500
Zr1 0.500 0.500 0.000
Al1 0.000 0.500 0.500
```

=====

Record 6
The following is a PBE calculation of a relaxed Li8Ca3Al crystal, from the Alexandria database.

Summary:
The calculation puts the total energy at -75.54 eV/cell.

```
data_Li8Ca3Al
_chemical_formula_sum 'Li24 Ca9 Al3'
_symmetry_space_group_name_H-M 'R 3 m'
_symmetry_Int_Tables_number 160
_symmetry_space_group_name_Hall 'R 3 -2"'
_cell_length_a 5.7547
_cell_length_b 5.7547
_cell_length_c 29.7762
_cell_angle_alpha 90.00
_cell_angle_beta 90.00
_cell_angle_gamma 120.00
loop_
_atom_site_label
_atom_site_fract_x
_atom_site_fract_y
_atom_site_fract_z
Li1 0.0000 0.0000 0.0000
Li2 0.0000 0.0000 0.4963
Li3 0.0029 0.5015 0.7433
Li4 0.0090 0.5045 0.2534
Ca1 0.0000 0.0000 0.1875
Ca2 0.0000 0.0000 0.3173
Ca3 0.0000 0.0000 0.7973
Al1 0.0000 0.0000 0.6834
```

=====

Record 7
The following is a PBE calculation of a relaxed Li3CaAl crystal, from the Alexandria database.

Summary:
The calculation puts the total energy at -6.95 eV/cell.

```
data_Li3CaAl
_chemical_formula_sum 'Li3 Ca1 Al1'
_symmetry_space_group_name_H-M 'P m -3 m'
_symmetry_Int_Tables_number 221
_symmetry_space_group_name_Hall '-P 4 2 3'
_cell_length_a 5.290
_cell_length_b 5.290
_cell_length_c 5.290
_cell_angle_alpha 90.00
_cell_angle_beta 90.00
_cell_angle_gamma 90.00
loop_
_atom_site_label
_atom_site_fract_x
_atom_site_fract_y
_atom_site_fract_z
Li1 0.000 0.000 0.500
Ca1 0.000 0.000 0.000
Al1 0.500 0.500 0.500
```

=====

Record 8
The following is a PBE calculation of a relaxed Li12Ca16Al crystal, from the Alexandria database.

Summary:
The calculation puts the total energy at -115.77 eV/cell.

```
data_Li12Ca16Al
_chemical_formula_sum 'Li24 Ca32 Al2'
_symmetry_space_group_name_H-M 'C 1 m 1'
_symmetry_Int_Tables_number 8
_cell_length_a 12.343
_cell_length_b 17.132
_cell_length_c 10.656
_cell_angle_alpha 90.00
_cell_angle_beta 123.65
_cell_angle_gamma 90.00
loop_
_symmetry_equiv_pos_as_xyz
'x,y,z'
'x,-y,z'
'x+1/2,y+1/2,z'
'x+1/2,-y+1/2,z'
loop_
_atom_site_label
_atom_site_fract_x
_atom_site_fract_y
_atom_site_fract_z
Li1 0.000 0.000 0.000
Li2 0.046 0.413 0.448
Li3 0.129 0.310 0.988
Li4 0.321 0.500 0.634
Li5 0.379 0.090 0.805
Li6 0.383 0.400 0.153
Li7 0.477 0.185 0.643
Ca1 0.012 0.000 0.468
Ca2 0.092 0.500 0.154
Ca3 0.125 0.110 0.829
Ca4 0.130 0.196 0.502
Ca5 0.154 0.500 0.828
Ca6 0.178 0.147 0.200
Ca7 0.301 0.338 0.415
Ca8 0.317 0.000 0.482
Ca9 0.330 0.320 0.816
Ca10 0.432 0.190 0.141
Al1 0.320 0.000 0.150
```

=====

Record 9
The following is a PBE calculation of a relaxed LiCa3Al crystal, from the Alexandria database.

Summary:
The calculation puts the total energy at -10.87 eV/cell.

```
data_LiCa3Al
_chemical_formula_sum 'Li1 Ca3 Al1'
_symmetry_space_group_name_H-M 'P m -3 m'
_symmetry_Int_Tables_number 221
_symmetry_space_group_name_Hall '-P 4 2 3'
_cell_length_a 5.935
_cell_length_b 5.935
_cell_length_c 5.935
_cell_angle_alpha 90.00
_cell_angle_beta 90.00
_cell_angle_gamma 90.00
loop_
_atom_site_label
_atom_site_fract_x
_atom_site_fract_y
_atom_site_fract_z
Li1 0.000 0.000 0.000
Ca1 0.000 0.500 0.500
Al1 0.500 0.500 0.500
```

=====

Record 10
The following is a PBE calculation of a relaxed Li2Ca8Al crystal, from the Alexandria database.

Summary:
The calculation puts the total energy at -46.54 eV/cell.

```
data_Li2Ca8Al
_chemical_formula_sum 'Li4 Ca16 Al2'
_symmetry_space_group_name_H-M 'I m m m'
_symmetry_Int_Tables_number 71
_symmetry_space_group_name_Hall '-I 2 2'
_cell_length_a 5.465
_cell_length_b 9.244
_cell_length_c 15.155
_cell_angle_alpha 90.00
_cell_angle_beta 90.00
_cell_angle_gamma 90.00
loop_
_atom_site_label
_atom_site_fract_x
_atom_site_fract_y
_atom_site_fract_z
Li1 0.000 0.000 0.196
Ca1 0.000 0.189 0.000
Ca2 0.000 0.275 0.345
Ca3 0.000 0.500 0.133
Al1 0.000 0.000 0.500
```

=====

Record 11
The following is a PBE calculation of a relaxed Li2Ca2Al crystal, from the Alexandria database.

Summary:
The calculation puts the total energy at -21.05 eV/cell.

```
data_Li2Ca2Al
_chemical_formula_sum 'Li4 Ca4 Al2'
_symmetry_space_group_name_H-M 'P 4/m b m'
_symmetry_Int_Tables_number 127
_symmetry_space_group_name_Hall '-P 4 2ab'
_cell_length_a 8.447
_cell_length_b 8.447
_cell_length_c 4.150
_cell_angle_alpha 90.00
_cell_angle_beta 90.00
_cell_angle_gamma 90.00
loop_
_atom_site_label
_atom_site_fract_x
_atom_site_fract_y
_atom_site_fract_z
Li1 0.143 0.357 0.000
Ca1 0.156 0.656 0.500
Al1 0.000 0.000 0.500
```

=====

Record 12
The following is a PBE calculation of a relaxed LiCaAl crystal, from the Alexandria database.

Summary:
The calculation puts the total energy at -32.80 eV/cell.

```
data_LiCaAl
_chemical_formula_sum 'Li4 Ca4 Al4'
_symmetry_space_group_name_H-M 'I m m a'
_symmetry_Int_Tables_number 74
_symmetry_space_group_name_Hall '-I 2b 2'
_cell_length_a 5.706
_cell_length_b 5.884
_cell_length_c 8.217
_cell_angle_alpha 90.00
_cell_angle_beta 90.00
_cell_angle_gamma 90.00
loop_
_atom_site_label
_atom_site_fract_x
_atom_site_fract_y
_atom_site_fract_z
Li1 0.250 0.250 0.250
Ca1 0.000 0.250 0.631
Al1 0.000 0.000 0.000
```

=====

Number 1: formation energy from the elements 2.519 eV per formula unit. Number 2: formation energy from the elements -1.360 eV per formula unit. Number 3: formation energy from the elements 0.759 eV per formula unit. Number 4: formation energy from the elements -1.225 eV per formula unit. Number 5: formation energy from the elements 6.509 eV per formula unit. Number 6: formation energy from the elements -0.123 eV per formula unit. Number 7: formation energy from the elements 4.535 eV per formula unit. Number 8: formation energy from the elements 0.851 eV per formula unit. Number 9: formation energy from the elements 0.793 eV per formula unit. Number 10: formation energy from the elements 0.315 eV per formula unit. Number 11: formation energy from the elements 1.049 eV per formula unit. Number 12: formation energy from the elements -0.541 eV per formula unit.